Computed, not measured: CdHgOs2 at its PBEsol-relaxed geometry at the SCAN level of DFT.

Summary:
ΔE_f in eV per formula unit: 3.72
Space-group type: Cmmm

Cell lengths 2.791, 2.791, 9.671 Å; angles 90.00, 90.00, 118.80 degrees
Element x y z (fractional)
Cd 0.000 0.000 0.000
Hg 0.000 0.000 0.500
Os 0.500 0.500 0.248
Os 0.500 0.500 0.752